<one>
Here is HoTmRh after structural relaxation from Alexandria. Energies are from PBE-GGA.

Cell and atoms, written as POSCAR:
```
HoTmRh
1.0
3.8965 0.0000 0.0000
0.0000 4.5774 0.0000
0.0000 -2.2887 3.9641
Tm Rh Ho
1 1 1
direct
0.2622 0.3333 0.6667
0.0066 0.0000 0.0000
0.7312 0.6667 0.3333
```

Computed properties:
**Size of the total moment**: 0.00 Bohr magnetons per cell
**N(E_F)**: 2.53 states/eV/cell
**Space-group type**: P3m1, No. 156

---

<two>
Here is HoTmRh after structural relaxation from Alexandria. Energies are from PBE-GGA.

Cell and atoms, written as POSCAR:
```
HoTmRh
1.0
-0.0605 3.1612 -3.1497
-0.1437 -3.1502 -3.1580
-7.1299 0.0896 3.3853
Ho Tm Rh
2 2 2
direct
0.3150 0.3150 0.1302
0.6850 0.6850 0.8698
0.0000 0.5000 0.5000
0.5000 0.0000 0.5000
0.8730 0.8730 0.2451
0.1270 0.1270 0.7549
```

Computed properties:
**Size of the total moment**: 0.00 Bohr magnetons per cell
**N(E_F)**: 5.66 states/eV/cell
**Space-group type**: I4/mmm, No. 139

---

In terms of stability, <two> leads; the second structure lies 156 meV per atom higher.

---

<one>
Here is HoTmZnRh after structural relaxation from Alexandria. Energies are from PBE-GGA.

Cell and atoms, written as POSCAR:
```
HoTmZnRh
1.0
-0.1618 2.4321 2.4535
-3.3379 -0.7431 0.5165
1.8032 -4.7468 4.8244
Ho Tm Zn Rh
1 1 1 1
direct
0.0000 0.0000 0.8732
0.0000 0.0000 0.3407
0.5000 0.5000 0.6031
0.5000 0.5000 0.1109
```

Computed properties:
**Size of the total moment**: 0.00 Bohr magnetons per cell
**N(E_F)**: 2.86 states/eV/cell
**Space-group type**: P4mm, No. 99

---

<two>
Here is HoTmZnRh after structural relaxation from Alexandria. Energies are from PBE-GGA.

Cell and atoms, written as POSCAR:
```
HoTmZnRh
1.0
-4.4803 1.8373 -0.6659
-2.5667 -1.2007 -3.9828
-3.9146 -2.8999 0.3976
Zn Tm Rh Ho
1 1 1 1
direct
0.0000 0.0000 0.0000
0.2500 0.2500 0.2500
0.5000 0.5000 0.5000
0.7500 0.7500 0.7500
```

Computed properties:
**Size of the total moment**: 0.00 Bohr magnetons per cell
**N(E_F)**: 2.27 states/eV/cell
**Space-group type**: F-43m, No. 216

---

In terms of stability, <one> leads; the second structure lies 12 meV per atom higher.